1.
# ScCdAs2 (PBE, relaxed)
data_ScCdAs2
_cell_length_a 3.960
_cell_length_b 5.591
_cell_length_c 3.964
_cell_angle_alpha 90.00
_cell_angle_beta 90.00
_cell_angle_gamma 90.00
_space_group_name_H-M_alt 'P 1'
_space_group_IT_number 1
_space_group_name_Hall 'P 1'
loop_
_atom_site_label
_atom_site_type_symbol
_atom_site_fract_x
_atom_site_fract_y
_atom_site_fract_z
_atom_site_occupancy
Sc1 Sc 0.000 0.000 0.000 1
Cd1 Cd 0.506 0.500 0.528 1
As1 As 0.005 0.500 0.025 1
As2 As 0.500 0.000 0.500 1
# - Energy: -4.685 eV per atom
# - Fermi-level density of states: 1.20 states/eV per cell
# - ΔH_f (0 K): -0.55 eV per atom

2.
# Cr3SBr (PBE, relaxed)
data_Cr3SBr
_cell_length_a 4.865
_cell_length_b 4.865
_cell_length_c 4.865
_cell_angle_alpha 90.00
_cell_angle_beta 90.00
_cell_angle_gamma 90.00
_space_group_name_H-M_alt 'P 1'
_space_group_IT_number 1
_space_group_name_Hall 'P 1'
loop_
_atom_site_label
_atom_site_type_symbol
_atom_site_fract_x
_atom_site_fract_y
_atom_site_fract_z
_atom_site_occupancy
Cr1 Cr 0.000 0.000 0.500 1
Cr2 Cr 0.000 0.500 0.000 1
Cr3 Cr 0.500 0.000 0.000 1
S1 S 0.000 0.000 0.000 1
Br1 Br 0.500 0.500 0.500 1
# - Energy: -6.465 eV per atom
# - Fermi-level density of states: 2.50 states/eV per cell
# - Raw formation energy: 0.47 eV per atom

3.
# Ca2SnBPt6 (PBE, relaxed)
data_Ca2SnBPt6
_cell_length_a 5.749
_cell_length_b 5.749
_cell_length_c 7.467
_cell_angle_alpha 112.72
_cell_angle_beta 112.72
_cell_angle_gamma 59.97
_space_group_name_H-M_alt 'P 1'
_space_group_IT_number 1
_space_group_name_Hall 'P 1'
loop_
_atom_site_label
_atom_site_type_symbol
_atom_site_fract_x
_atom_site_fract_y
_atom_site_fract_z
_atom_site_occupancy
Ca1 Ca 0.219 0.219 0.158 1
Ca2 Ca 0.781 0.781 0.842 1
Sn1 Sn 0.500 0.500 0.000 1
B1 B 0.000 0.000 0.500 1
Pt1 Pt 0.233 0.233 0.679 1
Pt2 Pt 0.234 0.715 0.681 1
Pt3 Pt 0.285 0.766 0.319 1
Pt4 Pt 0.715 0.234 0.681 1
Pt5 Pt 0.766 0.285 0.319 1
Pt6 Pt 0.767 0.767 0.321 1
# - Energy: -5.803 eV per atom
# - Fermi-level density of states: 2.65 states/eV per cell
# - ΔH_f (0 K): -0.71 eV per atom

4.
# NdSc2Ni (PBE, relaxed)
data_NdSc2Ni
_cell_length_a 8.988
_cell_length_b 8.988
_cell_length_c 8.988
_cell_angle_alpha 23.16
_cell_angle_beta 23.16
_cell_angle_gamma 23.16
_space_group_name_H-M_alt 'P 1'
_space_group_IT_number 1
_space_group_name_Hall 'P 1'
loop_
_atom_site_label
_atom_site_type_symbol
_atom_site_fract_x
_atom_site_fract_y
_atom_site_fract_z
_atom_site_occupancy
Nd1 Nd 0.000 0.000 0.000 1
Sc1 Sc 0.223 0.223 0.223 1
Sc2 Sc 0.777 0.777 0.777 1
Ni1 Ni 0.500 0.500 0.500 1
# - E above lowest polymorph: 136 meV/atom
# - Energy: -5.872 eV per atom
# - Fermi-level density of states: 6.17 states/eV per cell
# - ΔH_f (0 K): -0.07 eV per atom

5.
# Na2PdAu3 (PBE, relaxed)
data_Na2PdAu3
_cell_length_a 5.555
_cell_length_b 5.555
_cell_length_c 5.542
_cell_angle_alpha 119.50
_cell_angle_beta 119.50
_cell_angle_gamma 59.98
_space_group_name_H-M_alt 'P 1'
_space_group_IT_number 1
_space_group_name_Hall 'P 1'
loop_
_atom_site_label
_atom_site_type_symbol
_atom_site_fract_x
_atom_site_fract_y
_atom_site_fract_z
_atom_site_occupancy
Na1 Na 0.127 0.127 0.373 1
Na2 Na 0.873 0.873 0.627 1
Pd1 Pd 0.500 0.500 0.000 1
Au1 Au 0.000 0.500 0.000 1
Au2 Au 0.500 0.000 0.000 1
Au3 Au 0.500 0.500 0.500 1
# - Energy: -3.294 eV per atom
# - Fermi-level density of states: 1.81 states/eV per cell
# - ΔH_f (0 K): -0.35 eV per atom

6.
# NdThCoRh (PBE, relaxed)
data_NdThCoRh
_cell_length_a 4.963
_cell_length_b 4.963
_cell_length_c 4.963
_cell_angle_alpha 60.00
_cell_angle_beta 60.00
_cell_angle_gamma 60.00
_space_group_name_H-M_alt 'P 1'
_space_group_IT_number 1
_space_group_name_Hall 'P 1'
loop_
_atom_site_label
_atom_site_type_symbol
_atom_site_fract_x
_atom_site_fract_y
_atom_site_fract_z
_atom_site_occupancy
Nd1 Nd 0.000 0.000 0.000 1
Th1 Th 0.500 0.500 0.500 1
Co1 Co 0.750 0.750 0.750 1
Rh1 Rh 0.250 0.250 0.250 1
# - Energy: -7.009 eV per atom
# - Fermi-level density of states: 3.32 states/eV per cell
# - ΔH_f (0 K): -0.35 eV per atom

7.
# Ge3SeCl (PBE, relaxed)
data_Ge3SeCl
_cell_length_a 5.282
_cell_length_b 5.282
_cell_length_c 5.282
_cell_angle_alpha 90.00
_cell_angle_beta 90.00
_cell_angle_gamma 90.00
_space_group_name_H-M_alt 'P 1'
_space_group_IT_number 1
_space_group_name_Hall 'P 1'
loop_
_atom_site_label
_atom_site_type_symbol
_atom_site_fract_x
_atom_site_fract_y
_atom_site_fract_z
_atom_site_occupancy
Ge1 Ge 0.000 0.000 0.500 1
Ge2 Ge 0.000 0.500 0.000 1
Ge3 Ge 0.500 0.000 0.000 1
Se1 Se 0.000 0.000 0.000 1
Cl1 Cl 0.500 0.500 0.500 1
# - E above lowest polymorph: 0 meV/atom
# - Energy: -3.236 eV per atom
# - Fermi-level density of states: 6.49 states/eV per cell
# - Raw formation energy: 0.60 eV per atom

8.
# Pu4CdGe2Rh (PBE, relaxed)
data_Pu4CdGe2Rh
_cell_length_a 8.654
_cell_length_b 8.654
_cell_length_c 8.654
_cell_angle_alpha 34.33
_cell_angle_beta 34.33
_cell_angle_gamma 34.33
_space_group_name_H-M_alt 'P 1'
_space_group_IT_number 1
_space_group_name_Hall 'P 1'
loop_
_atom_site_label
_atom_site_type_symbol
_atom_site_fract_x
_atom_site_fract_y
_atom_site_fract_z
_atom_site_occupancy
Pu1 Pu 0.111 0.111 0.111 1
Pu2 Pu 0.364 0.364 0.364 1
Pu3 Pu 0.636 0.636 0.636 1
Pu4 Pu 0.889 0.889 0.889 1
Cd1 Cd 0.500 0.500 0.500 1
Ge1 Ge 0.240 0.240 0.240 1
Ge2 Ge 0.760 0.760 0.760 1
Rh1 Rh 0.000 0.000 0.000 1
# - Energy: -9.649 eV per atom
# - Fermi-level density of states: 27.52 states/eV per cell
# - ΔH_f (0 K): -0.30 eV per atom

9.
# TcHgI2O (PBE, relaxed)
data_TcHgI2O
_cell_length_a 5.708
_cell_length_b 5.708
_cell_length_c 3.774
_cell_angle_alpha 90.00
_cell_angle_beta 90.00
_cell_angle_gamma 90.00
_space_group_name_H-M_alt 'P 1'
_space_group_IT_number 1
_space_group_name_Hall 'P 1'
loop_
_atom_site_label
_atom_site_type_symbol
_atom_site_fract_x
_atom_site_fract_y
_atom_site_fract_z
_atom_site_occupancy
Tc1 Tc 0.000 0.000 0.000 1
Hg1 Hg 0.500 0.500 0.500 1
I1 I 0.000 0.500 0.000 1
I2 I 0.500 0.000 0.000 1
O1 O 0.000 0.000 0.500 1
# - E above lowest polymorph: 0 meV/atom
# - Energy: -3.982 eV per atom
# - Fermi-level density of states: 4.80 states/eV per cell
# - Raw formation energy: -0.24 eV per atom

10.
# Ho6Pd2S (PBE, relaxed)
data_Ho6Pd2S
_cell_length_a 6.454
_cell_length_b 7.206
_cell_length_c 11.686
_cell_angle_alpha 90.00
_cell_angle_beta 121.41
_cell_angle_gamma 90.00
_space_group_name_H-M_alt 'P 1'
_space_group_IT_number 1
_space_group_name_Hall 'P 1'
loop_
_atom_site_label
_atom_site_type_symbol
_atom_site_fract_x
_atom_site_fract_y
_atom_site_fract_z
_atom_site_occupancy
Ho1 Ho 0.093 0.188 0.433 1
Ho2 Ho 0.093 0.312 0.933 1
Ho3 Ho 0.260 0.670 0.432 1
Ho4 Ho 0.260 0.830 0.932 1
Ho5 Ho 0.394 0.036 0.245 1
Ho6 Ho 0.394 0.464 0.745 1
Ho7 Ho 0.606 0.536 0.255 1
Ho8 Ho 0.606 0.964 0.755 1
Ho9 Ho 0.740 0.170 0.068 1
Ho10 Ho 0.740 0.330 0.568 1
Ho11 Ho 0.907 0.688 0.067 1
Ho12 Ho 0.907 0.812 0.567 1
Pd1 Pd 0.180 0.114 0.741 1
Pd2 Pd 0.180 0.386 0.241 1
Pd3 Pd 0.820 0.614 0.759 1
Pd4 Pd 0.820 0.886 0.259 1
S1 S 0.500 0.000 0.500 1
S2 S 0.500 0.500 0.000 1
# - Energy: -5.502 eV per atom
# - Fermi-level density of states: 18.90 states/eV per cell
# - Raw formation energy: -0.84 eV per atom

11.
# Ca3HfNb (PBE, relaxed)
data_Ca3HfNb
_cell_length_a 5.444
_cell_length_b 5.444
_cell_length_c 5.444
_cell_angle_alpha 90.00
_cell_angle_beta 90.00
_cell_angle_gamma 90.00
_space_group_name_H-M_alt 'P 1'
_space_group_IT_number 1
_space_group_name_Hall 'P 1'
loop_
_atom_site_label
_atom_site_type_symbol
_atom_site_fract_x
_atom_site_fract_y
_atom_site_fract_z
_atom_site_occupancy
Ca1 Ca 0.000 0.000 0.500 1
Ca2 Ca 0.000 0.500 0.000 1
Ca3 Ca 0.500 0.000 0.000 1
Hf1 Hf 0.500 0.500 0.500 1
Nb1 Nb 0.000 0.000 0.000 1
# - E above lowest polymorph: 0 meV/atom
# - Energy: -3.843 eV per atom
# - Fermi-level density of states: 8.50 states/eV per cell
# - ΔH_f (0 K): 1.36 eV per atom

12.
# Ce2ThN (PBE, relaxed)
data_Ce2ThN
_cell_length_a 8.832
_cell_length_b 8.832
_cell_length_c 8.832
_cell_angle_alpha 22.99
_cell_angle_beta 22.99
_cell_angle_gamma 22.99
_space_group_name_H-M_alt 'P 1'
_space_group_IT_number 1
_space_group_name_Hall 'P 1'
loop_
_atom_site_label
_atom_site_type_symbol
_atom_site_fract_x
_atom_site_fract_y
_atom_site_fract_z
_atom_site_occupancy
Ce1 Ce 0.222 0.222 0.222 1
Ce2 Ce 0.778 0.778 0.778 1
Th1 Th 0.000 0.000 0.000 1
N1 N 0.500 0.500 0.500 1
# - E above lowest polymorph: 0 meV/atom
# - Energy: -7.587 eV per atom
# - Fermi-level density of states: 6.27 states/eV per cell
# - Raw formation energy: -0.68 eV per atom

13.
# LiPuCuF6 (PBE, relaxed)
data_LiPuCuF6
_cell_length_a 5.502
_cell_length_b 5.502
_cell_length_c 9.180
_cell_angle_alpha 90.00
_cell_angle_beta 90.00
_cell_angle_gamma 120.00
_space_group_name_H-M_alt 'P 1'
_space_group_IT_number 1
_space_group_name_Hall 'P 1'
loop_
_atom_site_label
_atom_site_type_symbol
_atom_site_fract_x
_atom_site_fract_y
_atom_site_fract_z
_atom_site_occupancy
Li1 Li 0.333 0.667 0.250 1
Li2 Li 0.667 0.333 0.750 1
Pu1 Pu 0.333 0.667 0.750 1
Pu2 Pu 0.667 0.333 0.250 1
Cu1 Cu 0.000 0.000 0.000 1
Cu2 Cu 0.000 0.000 0.500 1
F1 F 0.018 0.342 0.128 1
F2 F 0.018 0.676 0.372 1
F3 F 0.324 0.342 0.372 1
F4 F 0.324 0.982 0.128 1
F5 F 0.342 0.018 0.628 1
F6 F 0.342 0.324 0.872 1
F7 F 0.658 0.676 0.128 1
F8 F 0.658 0.982 0.372 1
F9 F 0.676 0.018 0.872 1
F10 F 0.676 0.658 0.628 1
F11 F 0.982 0.324 0.628 1
F12 F 0.982 0.658 0.872 1
# - Energy: -6.273 eV per atom
# - Fermi-level density of states: 9.05 states/eV per cell
# - Raw formation energy: -2.77 eV per atom